[1]
Here is a geometry-optimized Al2NiPO6 structure from Alexandria. Energies are from PBE+U.

## Properties
Electronic total energy, hartree per atom: -0.2492
Density of states at the Fermi level, states/eV/atom: 0.000

Cell: 6.946 6.946 5.418 Å, 105.62 105.62 102.95°
Atoms (fractional coordinates):
Al: 0.052 0.211 0.163
Al: 0.211 0.052 0.663
Al: 0.789 0.948 0.337
Al: 0.948 0.789 0.837
Ni: 0.408 0.592 0.750
Ni: 0.592 0.408 0.250
P: 0.308 0.692 0.250
P: 0.692 0.308 0.750
O: 0.067 0.183 0.483
O: 0.136 0.672 0.990
O: 0.183 0.067 0.983
O: 0.272 0.482 0.313
O: 0.328 0.864 0.510
O: 0.482 0.272 0.813
O: 0.518 0.728 0.187
O: 0.672 0.136 0.490
O: 0.728 0.518 0.687
O: 0.817 0.933 0.017
O: 0.864 0.328 0.010
O: 0.933 0.817 0.517

[2]
Here is a geometry-optimized AlNiP2O8 structure from Alexandria. Energies are from PBE+U.

## Properties
Electronic total energy, hartree per atom: -0.2419
Density of states at the Fermi level, states/eV/atom: 0.677

Cell: 5.338 5.338 5.338 Å, 107.45 107.45 113.59°
Atoms (fractional coordinates):
Al: 0.000 0.000 0.000
Ni: 0.750 0.250 0.500
P: 0.250 0.750 0.500
P: 0.500 0.500 0.000
O: 0.088 0.394 0.306
O: 0.088 0.782 0.694
O: 0.141 0.325 0.816
O: 0.218 0.912 0.306
O: 0.509 0.325 0.184
O: 0.606 0.912 0.694
O: 0.675 0.491 0.816
O: 0.675 0.859 0.184

[3]
Here is a geometry-optimized AlNi2PdO6 structure from Alexandria. Energies are from PBE+U.

## Properties
Electronic total energy, hartree per atom: -0.1898
Density of states at the Fermi level, states/eV/atom: 0.484

Cell: 5.577 5.577 3.883 Å, 90.00 90.00 90.00°
Atoms (fractional coordinates):
Al: 0.000 0.000 0.000
Ni: 0.000 0.500 0.196
Ni: 0.500 0.000 0.196
Pd: 0.500 0.500 0.019
O: 0.000 0.000 0.523
O: 0.242 0.242 0.074
O: 0.242 0.758 0.074
O: 0.500 0.500 0.526
O: 0.758 0.242 0.074
O: 0.758 0.758 0.074

[4]
Here is a geometry-optimized Pm2AlNiO6 structure from Alexandria. Energies are from PBE+U.

## Properties
Electronic total energy, hartree per atom: -0.2642

Cell: 5.358 5.437 9.383 Å, 90.00 124.51 90.00°
Atoms (fractional coordinates):
Pm: 0.239 0.045 0.249
Pm: 0.239 0.455 0.749
Pm: 0.761 0.545 0.251
Pm: 0.761 0.955 0.751
Al: 0.500 0.000 0.000
Al: 0.500 0.500 0.500
Ni: 0.000 0.000 0.500
Ni: 0.000 0.500 0.000
O: 0.173 0.207 0.958
O: 0.173 0.293 0.458
O: 0.247 0.716 0.955
O: 0.247 0.784 0.455
O: 0.340 0.019 0.759
O: 0.340 0.481 0.259
O: 0.660 0.519 0.741
O: 0.660 0.981 0.241
O: 0.753 0.216 0.545
O: 0.753 0.284 0.045
O: 0.827 0.707 0.542
O: 0.827 0.793 0.042

Q: Which value of electronic total energy does entry 2 give?
A: -0.2419 hartree per atom